Material: KPrAlTe3
Method: DFT, PBE-GGA
State: optimized geometry

Geometry as CIF:
```
data_KPrAlTe3
_chemical_formula_sum 'K2 Pr2 Al2 Te6'
_space_group_name_H-M_alt 'P 1'
_space_group_IT_number 1
_cell_length_a 7.942
_cell_length_b 7.942
_cell_length_c 12.184
_cell_angle_alpha 90.00
_cell_angle_beta 90.00
_cell_angle_gamma 144.32
loop_
_space_group_symop_operation_xyz
'x,y,z'
loop_
_atom_site_label
_atom_site_type_symbol
_atom_site_fract_x
_atom_site_fract_y
_atom_site_fract_z
_atom_site_occupancy
Al1 Al 0.978 0.022 0.250 1
Al2 Al 0.022 0.978 0.750 1
K1 K 0.250 0.750 0.250 1
K2 K 0.750 0.250 0.750 1
Pr1 Pr 0.500 0.500 0.000 1
Pr2 Pr 0.500 0.500 0.500 1
Te1 Te 0.869 0.131 0.073 1
Te2 Te 0.566 0.434 0.250 1
Te3 Te 0.869 0.131 0.427 1
Te4 Te 0.131 0.869 0.573 1
Te5 Te 0.434 0.566 0.750 1
Te6 Te 0.131 0.869 0.927 1
```

Summary:
**Total magnetic moment**: 0.29 μB per cell
**Density**: 4.37 g cm⁻³
**Total DFT energy (no corrections)**: -24.70 eV/f.u.